(P)
Below is a relaxed structure of Ho2Si3Pd2, with properties calculated at the PBE level.

abc: 9.0926 9.0926 6.8963
angles: 90.00 90.00 153.71
Closest atoms and distances in Å follow each position.
Positions (direct):
Ho 0.0545 0.9455 0.7500  9 Si 3.01-3.14
Ho 0.1541 0.8459 0.2500  6 Si 2.93-2.98, 6 Pd 2.99-3.07
Ho 0.8459 0.1541 0.7500  6 Si 2.93-2.98, 6 Pd 2.99-3.07
Ho 0.9455 0.0545 0.2500  9 Si 3.01-3.14
Si 0.2244 0.7756 0.7500  6 Pd 2.54-2.56
Si 0.4403 0.5597 0.5729  2 Si 2.34-2.44, 1 Pd 2.48
Si 0.4403 0.5597 0.9271  2 Si 2.34-2.44, 1 Pd 2.48
Si 0.5597 0.4403 0.0729  2 Si 2.34-2.44, 1 Pd 2.48
Si 0.5597 0.4403 0.4271  2 Si 2.34-2.44, 1 Pd 2.48
Si 0.7756 0.2244 0.2500  6 Pd 2.54-2.56
Pd 0.3086 0.6914 0.0482  4 Si 2.48-2.56
Pd 0.3086 0.6914 0.4518  4 Si 2.48-2.56
Pd 0.6914 0.3086 0.5482  4 Si 2.48-2.56
Pd 0.6914 0.3086 0.9518  4 Si 2.48-2.56

Computed properties:
mass density = 8.2 g cm⁻³
spin magnetization = 0.00 μB/atom

***

(Q)
Below is a relaxed structure of Ho2Si3Pd2, with properties calculated at the PBE level.

abc: 10.2612 4.2015 6.3901
angles: 90.00 115.49 90.00
Closest atoms and distances in Å follow each position.
Positions (direct):
Ho 0.1499 0.0000 0.2780  5 Si 2.90-3.25, 4 Pd 2.94-3.04
Ho 0.3501 0.5000 0.7220  5 Si 2.90-3.25, 4 Pd 2.94-3.04
Ho 0.6499 0.5000 0.2780  5 Si 2.90-3.25, 4 Pd 2.94-3.04
Ho 0.8501 0.0000 0.7220  5 Si 2.90-3.25, 4 Pd 2.94-3.04
Si 0.0000 0.5000 0.5000  2 Si 2.54, 4 Pd 2.66
Si 0.0985 0.5000 0.9384  2 Si 2.47-2.54, 3 Pd 2.54-2.56
Si 0.4015 0.0000 0.0616  2 Si 2.47-2.54, 3 Pd 2.54-2.56
Si 0.5000 0.0000 0.5000  2 Si 2.54, 4 Pd 2.66
Si 0.5985 0.0000 0.9384  2 Si 2.47-2.54, 3 Pd 2.54-2.56
Si 0.9015 0.5000 0.0616  2 Si 2.47-2.54, 3 Pd 2.54-2.56
Pd 0.1430 0.0000 0.7485  5 Si 2.54-2.66
Pd 0.3570 0.5000 0.2515  5 Si 2.54-2.66
Pd 0.6430 0.5000 0.7485  5 Si 2.54-2.66
Pd 0.8570 0.0000 0.2515  5 Si 2.54-2.66

Computed properties:
mass density = 8.4 g cm⁻³
spin magnetization = 0.00 μB/atom

***

Which structure is the least stable? The one labeled (Q).

***

(P)
Below is a relaxed structure of HoSi2Pd7, with properties calculated at the PBE level.

abc: 10.4482 10.4482 10.4482
angles: 157.72 157.72 31.72
Closest atoms and distances in Å follow each position.
Positions (direct):
Ho 0.0000 0.0000 0.0000  12 Pd 2.86-2.96
Si 0.3247 0.3247 0.0000  8 Pd 2.44-2.52
Si 0.6753 0.6753 0.0000  8 Pd 2.44-2.52
Pd 0.1074 0.6074 0.5000  2 Si 2.44
Pd 0.2500 0.7500 0.5000  4 Si 2.52
Pd 0.3926 0.8926 0.5000  2 Si 2.44
Pd 0.5000 0.5000 0.0000  4 Ho 2.86, 8 Pd 2.96
Pd 0.6074 0.1074 0.5000  2 Si 2.44
Pd 0.7500 0.2500 0.5000  4 Si 2.52
Pd 0.8926 0.3926 0.5000  2 Si 2.44

Computed properties:
mass density = 9.8 g cm⁻³
spin magnetization = 0.00 μB/atom

***

(Q)
Below is a relaxed structure of HoSi2Pd7, with properties calculated at the PBE level.

abc: 6.8914 6.8914 4.4628
angles: 90.00 90.00 115.70
Closest atoms and distances in Å follow each position.
Positions (direct):
Ho 0.0000 0.0000 0.0000  10 Pd 2.83-3.03
Si 0.3017 0.6983 0.5000  7 Pd 2.31-2.46
Si 0.6983 0.3017 0.5000  7 Pd 2.31-2.46
Pd 0.0627 0.3191 0.5000  2 Si 2.41-2.46
Pd 0.2423 0.7577 0.0000  2 Si 2.34
Pd 0.3191 0.0627 0.5000  2 Si 2.41-2.46
Pd 0.5000 0.5000 0.5000  2 Si 2.31
Pd 0.6809 0.9373 0.5000  2 Si 2.41-2.46
Pd 0.7577 0.2423 0.0000  2 Si 2.34
Pd 0.9373 0.6809 0.5000  2 Si 2.41-2.46

Computed properties:
mass density = 8.4 g cm⁻³
spin magnetization = 0.00 μB/atom

***

Which structure is the least stable? The one labeled (Q).

***

(P)
Below is a relaxed structure of HoSi4Pd6, with properties calculated at the PBE level.

abc: 7.1559 7.1559 3.8643
angles: 90.00 90.00 120.00
Closest atoms and distances in Å follow each position.
Positions (direct):
Ho 0.0000 0.0000 0.0000  6 Si 3.07, 6 Pd 3.12
Si 0.1921 0.3841 0.5000  6 Pd 2.42-2.57
Si 0.1921 0.8079 0.5000  6 Pd 2.42-2.57
Si 0.6159 0.8079 0.5000  6 Pd 2.42-2.57
Si 0.6667 0.3333 0.0000  9 Pd 2.49-2.56
Pd 0.0687 0.5344 0.0000  5 Si 2.49-2.57
Pd 0.3951 0.1975 0.5000  4 Si 2.42-2.56
Pd 0.4656 0.5344 0.0000  5 Si 2.49-2.57
Pd 0.4656 0.9313 0.0000  5 Si 2.49-2.57
Pd 0.8025 0.1975 0.5000  4 Si 2.42-2.56
Pd 0.8025 0.6049 0.5000  4 Si 2.42-2.56

Computed properties:
mass density = 8.9 g cm⁻³
spin magnetization = 0.00 μB/atom

***

(Q)
Below is a relaxed structure of HoSi4Pd6, with properties calculated at the PBE level.

abc: 6.3510 6.3510 6.3510
angles: 116.09 116.09 96.92
Closest atoms and distances in Å follow each position.
Positions (direct):
Ho 0.0000 0.0000 0.0000  4 Si 3.03, 8 Pd 3.36-3.38
Si 0.1460 0.1460 0.5837  4 Pd 2.30-2.43
Si 0.4378 0.8540 0.0000  4 Pd 2.30-2.43
Si 0.5622 0.5622 0.4163  4 Pd 2.30-2.43
Si 0.8540 0.4378 0.0000  4 Pd 2.30-2.43
Pd 0.0000 0.5000 0.5000  4 Si 2.71, 4 Pd 2.81
Pd 0.2172 0.5131 0.0000  4 Si 2.30-2.43
Pd 0.4869 0.4869 0.7041  4 Si 2.30-2.43
Pd 0.5000 0.0000 0.5000  4 Si 2.71, 4 Pd 2.81
Pd 0.5131 0.2172 0.0000  4 Si 2.30-2.43
Pd 0.7828 0.7828 0.2959  4 Si 2.30-2.43

Computed properties:
mass density = 8.0 g cm⁻³
spin magnetization = 0.00 μB/atom

***

Which structure is the least stable? The one labeled (Q).

***

(P)
Below is a relaxed structure of TbHoSiPd, with properties calculated at the PBE level.

abc: 4.2212 3.9520 10.7888
angles: 90.00 90.00 90.00
Closest atoms and distances in Å follow each position.
Positions (direct):
Tb 0.0000 0.0000 0.0000  4 Pd 2.98, 3 Si 3.01-3.09
Tb 0.0000 0.5000 0.5000  4 Pd 2.98, 3 Si 3.01-3.09
Ho 0.5000 0.0000 0.7194  4 Si 2.96, 3 Pd 3.03-3.09
Ho 0.5000 0.5000 0.2194  4 Si 2.96, 3 Pd 3.03-3.09
Si 0.0000 0.0000 0.2794  2 Pd 2.68, 4 Ho 2.96
Si 0.0000 0.5000 0.7794  2 Pd 2.68, 4 Ho 2.96
Pd 0.5000 0.0000 0.4327  2 Si 2.68, 4 Tb 2.98
Pd 0.5000 0.5000 0.9327  2 Si 2.68, 4 Tb 2.98

Computed properties:
mass density = 8.5 g cm⁻³
spin magnetization = 0.00 μB/atom

***

(Q)
Below is a relaxed structure of TbHoSiPd, with properties calculated at the PBE level.

abc: 7.0397 7.0397 7.0397
angles: 90.00 90.00 90.00
Closest atoms and distances in Å follow each position.
Positions (direct):
Tb 0.0000 0.0000 0.0000  4 Si 3.05, 4 Pd 3.05
Tb 0.0000 0.5000 0.5000  4 Si 3.05, 4 Pd 3.05
Tb 0.5000 0.0000 0.5000  4 Si 3.05, 4 Pd 3.05
Tb 0.5000 0.5000 0.0000  4 Si 3.05, 4 Pd 3.05
Ho 0.0000 0.0000 0.5000  4 Pd 3.05, 4 Si 3.05
Ho 0.0000 0.5000 0.0000  4 Pd 3.05, 4 Si 3.05
Ho 0.5000 0.0000 0.0000  4 Pd 3.05, 4 Si 3.05
Ho 0.5000 0.5000 0.5000  4 Pd 3.05, 4 Si 3.05
Si 0.2500 0.2500 0.2500  4 Ho 3.05, 4 Tb 3.05
Si 0.2500 0.7500 0.7500  4 Tb 3.05, 4 Ho 3.05
Si 0.7500 0.2500 0.7500  4 Tb 3.05, 4 Ho 3.05
Si 0.7500 0.7500 0.2500  4 Tb 3.05, 4 Ho 3.05
Pd 0.2500 0.2500 0.7500  4 Tb 3.05, 4 Ho 3.05
Pd 0.2500 0.7500 0.2500  4 Tb 3.05, 4 Ho 3.05
Pd 0.7500 0.2500 0.2500  4 Tb 3.05, 4 Ho 3.05
Pd 0.7500 0.7500 0.7500  4 Tb 3.05, 4 Ho 3.05

Computed properties:
mass density = 8.7 g cm⁻³
spin magnetization = 0.00 μB/atom

***

Which structure is the least stable? The one labeled (Q).

***

(P)
Below is a relaxed structure of SmHo2Pd, with properties calculated at the PBE level.

abc: 3.5717 3.5717 8.4979
angles: 90.00 90.00 90.00
Closest atoms and distances in Å follow each position.
Positions (direct):
Sm 0.0000 0.0000 0.0000  4 Sm 3.57, 8 Ho 3.62
Ho 0.5000 0.5000 0.3050  4 Pd 3.02, 1 Ho 3.31
Ho 0.5000 0.5000 0.6950  4 Pd 3.02, 1 Ho 3.31
Pd 0.0000 0.0000 0.5000  8 Ho 3.02

Computed properties:
mass density = 9.0 g cm⁻³
spin magnetization = 0.00 μB/atom

***

(Q)
Below is a relaxed structure of SmHo2Pd, with properties calculated at the PBE level.

abc: 3.6747 3.6747 29.3078
angles: 90.00 90.00 120.00
Closest atoms and distances in Å follow each position.
Positions (direct):
Sm 0.0000 0.0000 0.0000  6 Ho 3.66, 6 Sm 3.67
Sm 0.3333 0.6667 0.6667  6 Ho 3.66, 6 Sm 3.67
Sm 0.6667 0.3333 0.3333  6 Ho 3.66, 6 Sm 3.67
Ho 0.0000 0.0000 0.2317  3 Pd 2.85
Ho 0.0000 0.0000 0.7683  3 Pd 2.85
Ho 0.3333 0.6667 0.4350  3 Pd 2.85
Ho 0.3333 0.6667 0.8984  3 Pd 2.85
Ho 0.6667 0.3333 0.1016  3 Pd 2.85
Ho 0.6667 0.3333 0.5650  3 Pd 2.85
Pd 0.0000 0.0000 0.5000  6 Ho 2.85
Pd 0.3333 0.6667 0.1667  6 Ho 2.85
Pd 0.6667 0.3333 0.8333  6 Ho 2.85

Computed properties:
mass density = 8.5 g cm⁻³
spin magnetization = 0.00 μB/atom

***

Which structure is the least stable? The one labeled (Q).

***

(P)
Below is a relaxed structure of SmHo2Pd, with properties calculated at the PBE level.

abc: 7.0692 9.6825 6.5044
angles: 90.00 90.00 90.00
Closest atoms and distances in Å follow each position.
Positions (direct):
Sm 0.0186 0.2500 0.1329  2 Pd 2.92-2.99
Sm 0.4814 0.7500 0.6329  2 Pd 2.92-2.99
Sm 0.5186 0.2500 0.3671  2 Pd 2.92-2.99
Sm 0.9814 0.7500 0.8671  2 Pd 2.92-2.99
Ho 0.1792 0.0599 0.6731  2 Pd 2.84-2.89
Ho 0.1792 0.4401 0.6731  2 Pd 2.84-2.89
Ho 0.3208 0.5599 0.1731  2 Pd 2.84-2.89
Ho 0.3208 0.9401 0.1731  2 Pd 2.84-2.89
Ho 0.6792 0.0599 0.8269  2 Pd 2.84-2.89
Ho 0.6792 0.4401 0.8269  2 Pd 2.84-2.89
Ho 0.8208 0.5599 0.3269  2 Pd 2.84-2.89
Ho 0.8208 0.9401 0.3269  2 Pd 2.84-2.89
Pd 0.1123 0.7500 0.4303  4 Ho 2.84-2.89, 2 Sm 2.92-2.99
Pd 0.3877 0.2500 0.9303  4 Ho 2.84-2.89, 2 Sm 2.92-2.99
Pd 0.6123 0.7500 0.0697  4 Ho 2.84-2.89, 2 Sm 2.92-2.99
Pd 0.8877 0.2500 0.5697  4 Ho 2.84-2.89, 2 Sm 2.92-2.99

Computed properties:
mass density = 8.8 g cm⁻³
spin magnetization = 0.00 μB/atom

***

(Q)
Below is a relaxed structure of SmHo2Pd, with properties calculated at the PBE level.

abc: 3.8323 3.8323 27.6377
angles: 90.00 90.00 120.00
Closest atoms and distances in Å follow each position.
Positions (direct):
Sm 0.0000 0.0000 0.0000  6 Ho 3.58-3.66, 6 Sm 3.83
Sm 0.3333 0.6667 0.6667  6 Ho 3.58-3.66, 6 Sm 3.83
Sm 0.6667 0.3333 0.3333  6 Ho 3.58-3.66, 6 Sm 3.83
Ho 0.0000 0.0000 0.5613  3 Pd 2.82
Ho 0.0000 0.0000 0.7687  3 Pd 2.81
Ho 0.3333 0.6667 0.2279  3 Pd 2.82
Ho 0.3333 0.6667 0.4354  3 Pd 2.81
Ho 0.6667 0.3333 0.1020  3 Pd 2.81
Ho 0.6667 0.3333 0.8946  3 Pd 2.82
Pd 0.0000 0.0000 0.1645  6 Ho 2.81-2.82
Pd 0.3333 0.6667 0.8312  6 Ho 2.81-2.82
Pd 0.6667 0.3333 0.4979  6 Ho 2.81-2.82

Computed properties:
mass density = 8.3 g cm⁻³
spin magnetization = 0.00 μB/atom

***

Which structure is the least stable? The one labeled (Q).

***

(P)
Below is a relaxed structure of Sm2HoPd, with properties calculated at the PBE level.

abc: 3.6547 3.6547 8.4008
angles: 90.00 90.00 90.00
Closest atoms and distances in Å follow each position.
Positions (direct):
Sm 0.0000 0.0000 0.2031  4 Pd 3.10, 1 Sm 3.41
Sm 0.0000 0.0000 0.7969  4 Pd 3.10, 1 Sm 3.41
Ho 0.5000 0.5000 0.5000  8 Sm 3.59, 4 Ho 3.65
Pd 0.5000 0.5000 0.0000  8 Sm 3.10

Computed properties:
mass density = 8.5 g cm⁻³
spin magnetization = 0.00 μB/atom

***

(Q)
Below is a relaxed structure of Sm2HoPd, with properties calculated at the PBE level.

abc: 3.8334 12.1332 9.6877
angles: 90.00 90.00 90.00
Closest atoms and distances in Å follow each position.
Positions (direct):
Sm 0.0000 0.1350 0.0601  2 Pd 2.93
Sm 0.0000 0.1350 0.4399  2 Pd 2.93
Sm 0.0000 0.8650 0.5601  2 Pd 2.93
Sm 0.0000 0.8650 0.9399  2 Pd 2.93
Sm 0.5000 0.3650 0.5601  2 Pd 2.93
Sm 0.5000 0.3650 0.9399  2 Pd 2.93
Sm 0.5000 0.6350 0.0601  2 Pd 2.93
Sm 0.5000 0.6350 0.4399  2 Pd 2.93
Ho 0.0000 0.4289 0.2500  2 Pd 3.01
Ho 0.0000 0.5711 0.7500  2 Pd 3.01
Ho 0.5000 0.0711 0.7500  2 Pd 3.01
Ho 0.5000 0.9289 0.2500  2 Pd 3.01
Pd 0.0000 0.2623 0.7500  4 Sm 2.93, 2 Ho 3.01
Pd 0.0000 0.7377 0.2500  4 Sm 2.93, 2 Ho 3.01
Pd 0.5000 0.2377 0.2500  4 Sm 2.93, 2 Ho 3.01
Pd 0.5000 0.7623 0.7500  4 Sm 2.93, 2 Ho 3.01

Computed properties:
mass density = 8.4 g cm⁻³
spin magnetization = 0.00 μB/atom

***

Which structure is the least stable? The one labeled (P).

***

(P)
Below is a relaxed structure of Sm2HoPd, with properties calculated at the PBE level.

abc: 3.7778 3.7778 28.8087
angles: 90.00 90.00 120.00
Closest atoms and distances in Å follow each position.
Positions (direct):
Sm 0.0000 0.0000 0.0000  3 Pd 2.91
Sm 0.0000 0.0000 0.1997  3 Pd 2.91
Sm 0.3333 0.6667 0.6667  3 Pd 2.91
Sm 0.3333 0.6667 0.8664  3 Pd 2.91
Sm 0.6667 0.3333 0.3333  3 Pd 2.91
Sm 0.6667 0.3333 0.5331  3 Pd 2.91
Ho 0.0000 0.0000 0.7665  6 Sm 3.61, 6 Ho 3.78
Ho 0.3333 0.6667 0.4332  6 Sm 3.61, 6 Ho 3.78
Ho 0.6667 0.3333 0.0998  6 Sm 3.61, 6 Ho 3.78
Pd 0.0000 0.0000 0.5998  6 Sm 2.91
Pd 0.3333 0.6667 0.2664  6 Sm 2.91
Pd 0.6667 0.3333 0.9331  6 Sm 2.91

Computed properties:
mass density = 8.0 g cm⁻³
spin magnetization = 0.00 μB/atom

***

(Q)
Below is a relaxed structure of Sm2HoPd, with properties calculated at the PBE level.

abc: 3.7204 3.7204 29.5166
angles: 90.00 90.00 120.00
Closest atoms and distances in Å follow each position.
Positions (direct):
Sm 0.0000 0.0000 0.2335  3 Pd 2.92
Sm 0.0000 0.0000 0.7665  3 Pd 2.92
Sm 0.3333 0.6667 0.4331  3 Pd 2.92
Sm 0.3333 0.6667 0.9002  3 Pd 2.92
Sm 0.6667 0.3333 0.0998  3 Pd 2.92
Sm 0.6667 0.3333 0.5669  3 Pd 2.92
Ho 0.0000 0.0000 0.0000  6 Sm 3.65, 6 Ho 3.72
Ho 0.3333 0.6667 0.6667  6 Sm 3.65, 6 Ho 3.72
Ho 0.6667 0.3333 0.3333  6 Sm 3.65, 6 Ho 3.72
Pd 0.0000 0.0000 0.5000  6 Sm 2.92
Pd 0.3333 0.6667 0.1667  6 Sm 2.92
Pd 0.6667 0.3333 0.8333  6 Sm 2.92

Computed properties:
mass density = 8.1 g cm⁻³
spin magnetization = 0.00 μB/atom

***

Which structure is the least stable? The one labeled (P).